(1)
The following is a DFT calculation (PBE) of a geometry-optimized Zr2SiSb structure.

Calculated values
As for the density of states at the Fermi level: 2.68 states/eV per cell. Its total magnetic moment is 0.00 Bohr magnetons per cell. The value obtained for the total energy is -7.046 eV per atom. The calculation puts the energy above the most stable polymorph in this dataset at 287.3 meV/atom.

Unit cell a=3.8859 b=4.5858 c=4.5858 alpha=90.00 beta=90.00 gamma=90.00
Fractional positions:
Sb1 0.5000 0.5000 0.0000
Si1 0.5000 0.0000 0.5000
Zr1 0.0000 0.0000 0.0000
Zr2 0.0000 0.5000 0.5000


(2)
The following is a DFT calculation (PBE) of a geometry-optimized LaZr2Tl structure.

Calculated values
As for the density of states at the Fermi level: 2.63 states/eV per cell. Its total magnetic moment is 0.00 Bohr magnetons per cell. The value obtained for the total energy is -6.098 eV per atom. The calculation puts the energy above the most stable polymorph in this dataset at 30.1 meV/atom.

Unit cell a=4.5330 b=4.7354 c=4.7354 alpha=90.00 beta=90.00 gamma=90.00
Fractional positions:
La1 0.5000 0.5000 0.0000
Tl1 0.5000 0.0000 0.5000
Zr1 0.0000 0.0000 0.0000
Zr2 0.0000 0.5000 0.5000


(3)
The following is a DFT calculation (PBE) of a geometry-optimized Ce2BiPb4 structure.

Calculated values
As for the density of states at the Fermi level: 12.40 states/eV per cell. Its total magnetic moment is 1.68 Bohr magnetons per cell. The value obtained for the total energy is -4.652 eV per atom.

Unit cell a=6.8416 b=6.8416 c=6.8153 alpha=120.01 beta=120.01 gamma=90.02
Last column: magnetic moment on the atom in μB.
Fractional positions:
Pb1 0.7859 0.7859 0.0717  0.00
Pb2 0.2856 0.2856 0.0712  0.00
Pb3 0.7857 0.2857 0.0714  0.00
Pb4 0.2857 0.7857 0.0714  0.00
Bi1 0.7857 0.7857 0.5715  0.00
Ce1 0.2857 0.7856 0.5714  0.76
Ce2 0.7856 0.2857 0.5714  0.76


(4)
The following is a DFT calculation (PBE) of a geometry-optimized SrInAg structure.

Calculated values
As for the density of states at the Fermi level: 1.30 states/eV per cell. Its total magnetic moment is 0.00 Bohr magnetons per cell. The value obtained for the total energy is -2.673 eV per atom.

Unit cell a=6.2422 b=6.2422 c=6.2422 alpha=143.85 beta=143.78 gamma=52.10
Fractional positions:
Ag1 0.9744 0.9744 0.0000
In1 0.3614 0.3614 0.0000
Sr1 0.6643 0.6643 0.0000


(5)
The following is a DFT calculation (PBE) of a geometry-optimized Cd2SnP2 structure.

Calculated values
As for the density of states at the Fermi level: 3.95 states/eV per cell. Its total magnetic moment is 0.00 Bohr magnetons per cell. The value obtained for the total energy is -3.104 eV per atom. The calculation puts the energy above the most stable polymorph in this dataset at 0.0 meV/atom.

Unit cell a=7.8503 b=7.8503 c=3.4573 alpha=90.00 beta=90.00 gamma=90.00
Fractional positions:
P1 0.3275 0.8275 0.0000
P2 0.8275 0.6725 0.0000
P3 0.6725 0.1725 0.0000
P4 0.1725 0.3275 0.0000
Sn1 0.0000 0.0000 0.0000
Sn2 0.5000 0.5000 0.0000
Cd1 0.1339 0.6339 0.5000
Cd2 0.6339 0.8661 0.5000
Cd3 0.8661 0.3661 0.5000
Cd4 0.3661 0.1339 0.5000


(6)
The following is a DFT calculation (PBE) of a geometry-optimized Sr6CdAg structure.

Calculated values
As for the density of states at the Fermi level: 7.97 states/eV per cell. Its total magnetic moment is 0.00 Bohr magnetons per cell. The value obtained for the total energy is -1.877 eV per atom.

Unit cell a=5.7782 b=5.7781 c=11.0922 alpha=74.90 beta=74.90 gamma=90.00
Fractional positions:
Sr1 0.7492 0.7492 0.5016
Sr2 0.5937 0.0937 0.8126
Sr3 0.0937 0.5937 0.8126
Sr4 0.4063 0.9063 0.1874
Sr5 0.2508 0.2508 0.4984
Sr6 0.9063 0.4063 0.1874
Cd1 0.5000 0.5000 0.0000
Ag1 0.0000 0.0000 0.0000